Entry 1:
Here is Sm2EuIr after structural relaxation from Alexandria via LeMat-Bulk. Energies are from PBE-GGA.

Unit cell a=10.9921 b=10.9921 c=10.9921 alpha=21.28 beta=21.28 gamma=21.28
With the nearest neighbours (Å) after each atom.
Fractional coordinates of all 4 atoms:
Sm 0.1195 0.1195 0.1195  3 Ir 2.79
Sm 0.8805 0.8805 0.8805  3 Ir 2.79
Eu 0.0000 0.0000 0.0000  2 Sm 3.85, 6 Eu 4.06
Ir 0.5000 0.5000 0.5000  6 Sm 2.79

- V: 153.2 Å³/cell
- Final energy: -7.376 eV/atom
- Polymorph energy (0 for the lowest one): 89 meV/atom
- Magnetization: 1.970 μB per atom
- Energy relative to the elements: -0.23 eV per atom

***

Entry 2:
Here is SmEuIr4 after structural relaxation from Alexandria via LeMat-Bulk. Energies are from PBE-GGA.

Unit cell a=5.4145 b=5.4145 c=5.4145 alpha=60.00 beta=60.00 gamma=60.00
With the nearest neighbours (Å) after each atom.
Fractional coordinates of all 6 atoms:
Sm 0.0000 0.0000 0.0000  12 Ir 3.17, 4 Eu 3.32
Eu 0.7500 0.7500 0.7500  12 Ir 3.17, 4 Sm 3.32
Ir 0.3749 0.3749 0.3749  6 Ir 2.71
Ir 0.3749 0.3749 0.8752  6 Ir 2.71
Ir 0.3749 0.8752 0.3749  6 Ir 2.71
Ir 0.8752 0.3749 0.3749  6 Ir 2.71

- V: 112.2 Å³/cell
- Final energy: -9.020 eV/atom
- Magnetization: 1.051 μB per atom
- Energy relative to the elements: -0.61 eV per atom

***

Entry 3:
Here is Sm2EuIr after structural relaxation from Alexandria via LeMat-Bulk. Energies are from PBE-GGA.

Unit cell a=3.5835 b=3.5835 c=9.4913 alpha=90.00 beta=90.00 gamma=90.00
With the nearest neighbours (Å) after each atom.
Fractional coordinates of all 4 atoms:
Sm 0.0000 0.0000 0.1716  4 Ir 3.01, 1 Sm 3.26
Sm 0.0000 0.0000 0.8284  4 Ir 3.01, 1 Sm 3.26
Eu 0.5000 0.5000 0.5000  4 Eu 3.58
Ir 0.5000 0.5000 0.0000  8 Sm 3.01

- V: 121.9 Å³/cell
- Final energy: -7.465 eV/atom
- Polymorph energy (0 for the lowest one): 0 meV/atom
- Magnetization: 1.924 μB per atom
- Energy relative to the elements: -0.32 eV per atom

***

Entry 4:
Here is SmEuTlIr after structural relaxation from Alexandria via LeMat-Bulk. Energies are from PBE-GGA.

Unit cell a=5.2120 b=5.2120 c=5.2120 alpha=60.00 beta=60.00 gamma=60.00
With the nearest neighbours (Å) after each atom.
Fractional coordinates of all 4 atoms:
Sm 0.0000 0.0000 0.0000  4 Tl 3.19, 4 Ir 3.19
Eu 0.5000 0.5000 0.5000  4 Tl 3.19, 4 Ir 3.19
Tl 0.7500 0.7500 0.7500  4 Eu 3.19, 4 Sm 3.19
Ir 0.2500 0.2500 0.2500  4 Eu 3.19, 4 Sm 3.19

- V: 100.1 Å³/cell
- Final energy: -6.881 eV/atom
- Magnetization: 1.722 μB per atom
- Energy relative to the elements: -0.33 eV per atom

***

Entry 5:
Here is SmEuZnIr after structural relaxation from Alexandria via LeMat-Bulk. Energies are from PBE-GGA.

Unit cell a=5.0494 b=5.0494 c=5.0494 alpha=60.00 beta=60.00 gamma=60.00
With the nearest neighbours (Å) after each atom.
Fractional coordinates of all 4 atoms:
Sm 0.0000 0.0000 0.0000  4 Ir 3.09, 4 Zn 3.09
Eu 0.5000 0.5000 0.5000  4 Ir 3.09, 4 Zn 3.09
Zn 0.7500 0.7500 0.7500  4 Eu 3.09, 4 Sm 3.09
Ir 0.2500 0.2500 0.2500  4 Eu 3.09, 4 Sm 3.09

- V: 91.0 Å³/cell
- Final energy: -6.681 eV/atom
- Magnetization: 1.726 μB per atom
- Energy relative to the elements: -0.40 eV per atom

***

Entry 6:
Here is EuSnIr4 after structural relaxation from Alexandria via LeMat-Bulk. Energies are from PBE-GGA.

Unit cell a=5.3657 b=5.3657 c=5.3657 alpha=60.00 beta=60.00 gamma=60.00
With the nearest neighbours (Å) after each atom.
Fractional coordinates of all 6 atoms:
Eu 0.0000 0.0000 0.0000  12 Ir 3.15, 4 Sn 3.29
Sn 0.2500 0.2500 0.2500  12 Ir 3.14, 4 Eu 3.29
Ir 0.1263 0.6246 0.6246  6 Ir 2.67-2.69
Ir 0.6246 0.1263 0.6246  6 Ir 2.67-2.69
Ir 0.6246 0.6246 0.1263  6 Ir 2.67-2.69
Ir 0.6246 0.6246 0.6246  6 Ir 2.67-2.69

- V: 109.2 Å³/cell
- Final energy: -8.457 eV/atom
- Magnetization: 0.945 μB per atom
- Energy relative to the elements: -0.17 eV per atom

***

Entry 7:
Here is EuSn2Ir after structural relaxation from Alexandria via LeMat-Bulk. Energies are from PBE-GGA.

Unit cell a=6.0460 b=6.0460 c=7.6295 alpha=90.00 beta=90.00 gamma=137.49
With the nearest neighbours (Å) after each atom.
Fractional coordinates of all 8 atoms:
Eu 0.0645 0.9355 0.7500  3 Ir 3.12-3.34, 4 Sn 3.29
Eu 0.9355 0.0645 0.2500  3 Ir 3.12-3.34, 4 Sn 3.29
Sn 0.3523 0.6477 0.5472  3 Ir 2.76-2.78, 1 Sn 3.09
Sn 0.3523 0.6477 0.9528  3 Ir 2.76-2.78, 1 Sn 3.09
Sn 0.6477 0.3523 0.0472  3 Ir 2.76-2.78, 1 Sn 3.09
Sn 0.6477 0.3523 0.4528  3 Ir 2.76-2.78, 1 Sn 3.09
Ir 0.2122 0.7878 0.2500  6 Sn 2.76-2.78
Ir 0.7878 0.2122 0.7500  6 Sn 2.76-2.78

- V: 188.4 Å³/cell
- Final energy: -7.385 eV/atom
- Polymorph energy (0 for the lowest one): 0 meV/atom
- Magnetization: 1.740 μB per atom
- Energy relative to the elements: -0.60 eV per atom

***

Entry 8:
Here is EuSn2Ir after structural relaxation from Alexandria via LeMat-Bulk. Energies are from PBE-GGA.

Unit cell a=6.1980 b=6.1980 c=6.1980 alpha=42.41 beta=42.41 gamma=42.41
With the nearest neighbours (Å) after each atom.
Fractional coordinates of all 4 atoms:
Eu 0.0000 0.0000 0.0000  6 Sn 3.21
Sn 0.2206 0.2206 0.2206  3 Ir 2.74
Sn 0.7794 0.7794 0.7794  3 Ir 2.74
Ir 0.5000 0.5000 0.5000  6 Sn 2.74

- V: 98.0 Å³/cell
- Final energy: -7.273 eV/atom
- Polymorph energy (0 for the lowest one): 112 meV/atom
- Magnetization: 1.707 μB per atom
- Energy relative to the elements: -0.49 eV per atom

***

Entry 9:
Here is Eu3SnIr after structural relaxation from Alexandria via LeMat-Bulk. Energies are from PBE-GGA.

Unit cell a=5.5231 b=5.5231 c=5.5231 alpha=90.00 beta=90.00 gamma=90.00
With the nearest neighbours (Å) after each atom.
Fractional coordinates of all 5 atoms:
Eu 0.0000 0.0000 0.5000  2 Ir 2.76
Eu 0.0000 0.5000 0.0000  2 Ir 2.76
Eu 0.5000 0.0000 0.0000  2 Ir 2.76
Sn 0.5000 0.5000 0.5000  12 Eu 3.91
Ir 0.0000 0.0000 0.0000  6 Eu 2.76

- V: 168.5 Å³/cell
- Final energy: -9.097 eV/atom
- Magnetization: 4.064 μB per atom
- Energy relative to the elements: -0.36 eV per atom

***

Entry 10:
Here is Eu3Sn13Ir4 after structural relaxation from Alexandria via LeMat-Bulk. Energies are from PBE-GGA.

Unit cell a=9.8522 b=9.8522 c=9.8522 alpha=90.00 beta=90.00 gamma=90.00
With the nearest neighbours (Å) after each atom.
Fractional coordinates of all 40 atoms:
Eu 0.0000 0.2500 0.5000  12 Sn 3.47, 4 Ir 3.48
Eu 0.0000 0.7500 0.5000  12 Sn 3.47, 4 Ir 3.48
Eu 0.2500 0.5000 0.0000  12 Sn 3.47, 4 Ir 3.48
Eu 0.5000 0.0000 0.2500  12 Sn 3.47, 4 Ir 3.48
Eu 0.5000 0.0000 0.7500  12 Sn 3.47, 4 Ir 3.48
Eu 0.7500 0.5000 0.0000  12 Sn 3.47, 4 Ir 3.48
Sn 0.0000 0.0000 0.0000  12 Sn 3.35
Sn 0.0000 0.3042 0.1524  2 Ir 2.70, 1 Sn 3.00
Sn 0.0000 0.3042 0.8476  2 Ir 2.70, 1 Sn 3.00
Sn 0.0000 0.6958 0.1524  2 Ir 2.70, 1 Sn 3.00
Sn 0.0000 0.6958 0.8476  2 Ir 2.70, 1 Sn 3.00
Sn 0.1524 0.0000 0.3042  2 Ir 2.70, 1 Sn 3.00
Sn 0.1524 0.0000 0.6958  2 Ir 2.70, 1 Sn 3.00
Sn 0.1958 0.5000 0.3476  2 Ir 2.70, 1 Sn 3.00
Sn 0.1958 0.5000 0.6524  2 Ir 2.70, 1 Sn 3.00
Sn 0.3042 0.1524 0.0000  2 Ir 2.70, 1 Sn 3.00
Sn 0.3042 0.8476 0.0000  2 Ir 2.70, 1 Sn 3.00
Sn 0.3476 0.1958 0.5000  2 Ir 2.70, 1 Sn 3.00
Sn 0.3476 0.8042 0.5000  2 Ir 2.70, 1 Sn 3.00
Sn 0.5000 0.3476 0.1958  2 Ir 2.70, 1 Sn 3.00
Sn 0.5000 0.3476 0.8042  2 Ir 2.70, 1 Sn 3.00
Sn 0.5000 0.5000 0.5000  12 Sn 3.35
Sn 0.5000 0.6524 0.1958  2 Ir 2.70, 1 Sn 3.00
Sn 0.5000 0.6524 0.8042  2 Ir 2.70, 1 Sn 3.00
Sn 0.6524 0.1958 0.5000  2 Ir 2.70, 1 Sn 3.00
Sn 0.6524 0.8042 0.5000  2 Ir 2.70, 1 Sn 3.00
Sn 0.6958 0.1524 0.0000  2 Ir 2.70, 1 Sn 3.00
Sn 0.6958 0.8476 0.0000  2 Ir 2.70, 1 Sn 3.00
Sn 0.8042 0.5000 0.3476  2 Ir 2.70, 1 Sn 3.00
Sn 0.8042 0.5000 0.6524  2 Ir 2.70, 1 Sn 3.00
Sn 0.8476 0.0000 0.3042  2 Ir 2.70, 1 Sn 3.00
Sn 0.8476 0.0000 0.6958  2 Ir 2.70, 1 Sn 3.00
Ir 0.2500 0.2500 0.2500  6 Sn 2.70
Ir 0.2500 0.2500 0.7500  6 Sn 2.70
Ir 0.2500 0.7500 0.2500  6 Sn 2.70
Ir 0.2500 0.7500 0.7500  6 Sn 2.70
Ir 0.7500 0.2500 0.2500  6 Sn 2.70
Ir 0.7500 0.2500 0.7500  6 Sn 2.70
Ir 0.7500 0.7500 0.2500  6 Sn 2.70
Ir 0.7500 0.7500 0.7500  6 Sn 2.70

- V: 956.3 Å³/cell
- Final energy: -6.392 eV/atom
- Magnetization: 1.031 μB per atom
- Energy relative to the elements: -0.48 eV per atom

***

Entry 11:
Here is Sr2EuIr after structural relaxation from Alexandria via LeMat-Bulk. Energies are from PBE-GGA.

Unit cell a=11.6439 b=11.6439 c=11.6439 alpha=20.84 beta=20.84 gamma=20.84
With the nearest neighbours (Å) after each atom.
Fractional coordinates of all 4 atoms:
Sr 0.1188 0.1188 0.1188  3 Ir 2.93
Sr 0.8812 0.8812 0.8812  3 Ir 2.93
Eu 0.0000 0.0000 0.0000  2 Sr 4.06, 6 Eu 4.21
Ir 0.5000 0.5000 0.5000  6 Sr 2.93

- V: 175.0 Å³/cell
- Final energy: -5.471 eV/atom
- Magnetization: 1.955 μB per atom
- Energy relative to the elements: 0.15 eV per atom

***

Entry 12:
Here is SrEu3Ir after structural relaxation from Alexandria via LeMat-Bulk. Energies are from PBE-GGA.

Unit cell a=5.7582 b=5.7582 c=5.7582 alpha=90.00 beta=90.00 gamma=90.00
With the nearest neighbours (Å) after each atom.
Fractional coordinates of all 5 atoms:
Sr 0.0000 0.0000 0.0000  12 Eu 4.07
Eu 0.0000 0.5000 0.5000  2 Ir 2.88
Eu 0.5000 0.0000 0.5000  2 Ir 2.88
Eu 0.5000 0.5000 0.0000  2 Ir 2.88
Ir 0.5000 0.5000 0.5000  6 Eu 2.88

- V: 190.9 Å³/cell
- Final energy: -8.501 eV/atom
- Magnetization: 4.254 μB per atom
- Energy relative to the elements: -0.23 eV per atom

***

Entry 13:
Here is TbEuIr4 after structural relaxation from Alexandria via LeMat-Bulk. Energies are from PBE-GGA.

Unit cell a=5.3933 b=5.3933 c=5.3933 alpha=60.00 beta=60.00 gamma=60.00
With the nearest neighbours (Å) after each atom.
Fractional coordinates of all 6 atoms:
Tb 0.0000 0.0000 0.0000  12 Ir 3.16, 4 Eu 3.30
Eu 0.2500 0.2500 0.2500  12 Ir 3.16, 4 Tb 3.30
Ir 0.1247 0.6251 0.6251  6 Ir 2.69-2.70
Ir 0.6251 0.1247 0.6251  6 Ir 2.69-2.70
Ir 0.6251 0.6251 0.1247  6 Ir 2.69-2.70
Ir 0.6251 0.6251 0.6251  6 Ir 2.69-2.70

- V: 110.9 Å³/cell
- Final energy: -9.030 eV/atom
- Magnetization: 1.056 μB per atom
- Energy relative to the elements: -0.64 eV per atom

***

Entry 14:
Here is TbEu2Ir after structural relaxation from Alexandria via LeMat-Bulk. Energies are from PBE-GGA.

Unit cell a=10.7674 b=10.7674 c=10.7674 alpha=20.25 beta=20.25 gamma=20.25
With the nearest neighbours (Å) after each atom.
Fractional coordinates of all 4 atoms:
Tb 0.0000 0.0000 0.0000  2 Eu 3.47, 6 Tb 3.79
Eu 0.1098 0.1098 0.1098  3 Ir 2.83
Eu 0.8902 0.8902 0.8902  3 Ir 2.83
Ir 0.5000 0.5000 0.5000  6 Eu 2.83

- V: 130.9 Å³/cell
- Final energy: -8.379 eV/atom
- Magnetization: 3.510 μB per atom
- Energy relative to the elements: 0.13 eV per atom